[1]
Below is a relaxed structure of KLiWI6, with properties calculated at the PBE level.

abc: 7.5052 7.5052 15.4222
angles: 90.00 90.00 120.00
Space group P-31c (No. 163)
Unique sites:
K 0.0000 0.0000 0.0000 x2
Li 0.3333 0.6667 0.2500 x2
W 0.3333 0.6667 0.7500 x2
I 0.0201 0.3781 0.6463 x12



[2]
Below is a relaxed structure of K2LiYI6, with properties calculated at the PBE level.

abc: 8.142 8.555 14.105
angles: 90.00 124.75 90.00
Space group P2_1/c (No. 14)
Unique sites:
K 0.219 0.084 0.247 x4
Li 0.000 0.000 0.500 x2
Y 0.500 0.000 0.000 x2
I 0.144 0.195 0.949 x4
I 0.260 0.700 0.951 x4
I 0.350 0.018 0.747 x4

Summary:
Relative energy among the computed polymorphs in eV/atom: 0.000



no.,raw formation energy (kJ/mol of atoms),VASP energy (eV per atom)
1,-55,-3.375
2,-134,-3.377